Entry from Alexandria: an optimized crystal structure of POs2Br (PBE).

As for the mass density: 12.5 Mg/m³. Its raw total energy is -6.846 eV per atom. The calculation puts the formation energy (no corrections) at 0.54 eV per atom. The value obtained for the magnetization is 0.000 μB/f.u. The energy above the most stable polymorph in this dataset comes out at 144 meV per atom. Its density of states at the Fermi level is 0.567 states/eV per atom.

The space group is R-3m (No. 166, hexagonal axes) and the conventional cell measures 2.8587, 2.8587 and 27.7000 Å, with angles of 90.00, 90.00 and 120.00 degrees. Symmetry generates all atoms from P at (0.0000, 0.0000, 0.0000), Os at (0.0000, 0.0000, 0.2712) and Br at (0.0000, 0.0000, 0.5000).

Entry from Alexandria: an optimized crystal structure of K3Y2BiO6 (PBE).

As for the mass density: 4.9 Mg/m³. Its raw total energy is -6.437 eV per atom. The calculation puts the formation energy (no corrections) at -2.28 eV per atom. The value obtained for the magnetization is 0.000 μB/f.u. Its density of states at the Fermi level is 0.000 states/eV per atom.

The space group is C2/m (No. 12) and the conventional cell measures 6.1185, 10.5965 and 6.6008 Å, with angles of 90.00, 108.01 and 90.00 degrees. Symmetry generates all atoms from K at (0.0000, 0.0000, 0.0000), K at (0.0000, 0.3353, 0.0000), Y at (0.0000, 0.1668, 0.5000), Bi at (0.0000, 0.5000, 0.5000), O at (0.2165, 0.0000, 0.6911) and O at (0.2374, 0.3264, 0.6912).

Entry from Alexandria: an optimized crystal structure of NdVAs2 (PBE).

As for the energy relative to the elements: -0.13 eV per atom. As for the mass density: 6.6 Mg/m³. Its raw total energy is -5.928 eV per atom. The value obtained for the magnetization is 0.000 μB/f.u. Its density of states at the Fermi level is 0.950 states/eV per atom.

The space group is R-3m (No. 166, hexagonal axes) and the conventional cell measures 3.2484, 3.2484 and 28.6097 Å, with angles of 90.00, 90.00 and 120.00 degrees. Symmetry generates all atoms from Nd at (0.0000, 0.0000, 0.0000), V at (0.0000, 0.0000, 0.5000) and As at (0.0000, 0.0000, 0.1065).